! SbO2F2 (GGA-PBE, relaxed); values from VASP
&SYSTEM
  ibrav = 0, nat = 5, ntyp = 3
/
ATOMIC_SPECIES
Sb 121.76 Sb.upf
O 16.00 O.upf
F 19.00 F.upf
CELL_PARAMETERS angstrom
3.867 0.000 0.000
0.000 3.867 0.000
0.000 0.000 4.091
ATOMIC_POSITIONS crystal
Sb 0.000 0.000 0.000
O 0.000 0.500 0.000
O 0.500 0.000 0.000
F 0.000 0.000 0.500
F 0.500 0.500 0.500
! Offset from the most stable computed form in eV/atom: 0.000

=====

SbOF | GGA-PBE | relaxed Values from VASP.

Structure (Quantum ESPRESSO input):
```
&SYSTEM
  ibrav = 0, nat = 12, ntyp = 3
/
ATOMIC_SPECIES
Sb 121.76 Sb.upf
O 16.00 O.upf
F 19.00 F.upf
CELL_PARAMETERS angstrom
6.817 0.000 0.000
0.000 3.463 0.000
0.000 0.000 8.181
ATOMIC_POSITIONS crystal
Sb 0.194 0.250 0.070
Sb 0.306 0.750 0.570
Sb 0.694 0.250 0.430
Sb 0.806 0.750 0.930
O 0.004 0.750 0.121
O 0.496 0.250 0.621
O 0.504 0.750 0.379
O 0.996 0.250 0.879
F 0.177 0.250 0.413
F 0.323 0.750 0.913
F 0.677 0.250 0.087
F 0.823 0.750 0.587
```

=====

SbOF | GGA-PBE | relaxed Values from VASP.

Structure (Quantum ESPRESSO input):
```
&SYSTEM
  ibrav = 0, nat = 36, ntyp = 3
/
ATOMIC_SPECIES
Sb 121.76 Sb.upf
O 16.00 O.upf
F 19.00 F.upf
CELL_PARAMETERS angstrom
7.057 0.000 0.000
0.000 10.282 0.000
-2.545 0.000 9.466
ATOMIC_POSITIONS crystal
Sb 0.049 0.200 0.039
Sb 0.049 0.300 0.539
Sb 0.257 0.030 0.396
Sb 0.257 0.470 0.896
Sb 0.427 0.640 0.281
Sb 0.427 0.860 0.781
Sb 0.573 0.140 0.219
Sb 0.573 0.360 0.719
Sb 0.743 0.530 0.104
Sb 0.743 0.970 0.604
Sb 0.951 0.700 0.461
Sb 0.951 0.800 0.961
O 0.261 0.131 0.204
O 0.261 0.369 0.704
O 0.263 0.192 0.506
O 0.263 0.308 0.006
O 0.453 0.557 0.100
O 0.453 0.943 0.600
O 0.547 0.057 0.400
O 0.547 0.443 0.900
O 0.737 0.692 0.994
O 0.737 0.808 0.494
O 0.739 0.631 0.296
O 0.739 0.869 0.796
F 0.094 0.066 0.906
F 0.094 0.434 0.406
F 0.119 0.642 0.168
F 0.119 0.858 0.668
F 0.412 0.682 0.706
F 0.412 0.818 0.206
F 0.588 0.182 0.794
F 0.588 0.318 0.294
F 0.881 0.142 0.332
F 0.881 0.358 0.832
F 0.906 0.566 0.594
F 0.906 0.934 0.094
```

=====

! Sb5O7F (GGA-PBE, relaxed); values from VASP
&SYSTEM
  ibrav = 0, nat = 26, ntyp = 3
/
ATOMIC_SPECIES
Sb 121.76 Sb.upf
O 16.00 O.upf
F 19.00 F.upf
CELL_PARAMETERS angstrom
4.152 0.000 0.000
-2.075 10.511 0.000
-0.323 -4.824 11.578
ATOMIC_POSITIONS crystal
Sb 0.038 0.128 0.139
Sb 0.059 0.117 0.421
Sb 0.268 0.587 0.657
Sb 0.327 0.693 0.358
Sb 0.356 0.670 0.945
Sb 0.644 0.330 0.055
Sb 0.673 0.307 0.642
Sb 0.732 0.413 0.343
Sb 0.941 0.883 0.579
Sb 0.962 0.872 0.861
O 0.095 0.223 0.317
O 0.129 0.287 0.087
O 0.155 0.278 0.575
O 0.240 0.521 0.390
O 0.261 0.512 0.779
O 0.397 0.783 0.832
O 0.410 0.834 0.530
O 0.590 0.166 0.470
O 0.603 0.217 0.168
O 0.739 0.488 0.221
O 0.760 0.479 0.610
O 0.845 0.722 0.425
O 0.871 0.713 0.913
O 0.905 0.777 0.683
F 0.459 0.880 0.062
F 0.541 0.120 0.938
! Offset from the most stable computed form in eV/atom: 0.024

=====

! SbO2F (GGA-PBE, relaxed); values from VASP
&SYSTEM
  ibrav = 0, nat = 4, ntyp = 3
/
ATOMIC_SPECIES
Sb 121.76 Sb.upf
O 16.00 O.upf
F 19.00 F.upf
CELL_PARAMETERS angstrom
1.900 1.097 6.153
-1.900 1.097 6.153
0.000 -2.194 6.153
ATOMIC_POSITIONS crystal
Sb 0.000 0.000 0.000
O 0.101 0.101 0.101
O 0.899 0.899 0.899
F 0.500 0.500 0.500
! Offset from the most stable computed form in eV/atom: 1.937

=====

SbOF | GGA-PBE | relaxed Values from VASP.

Structure (Quantum ESPRESSO input):
```
&SYSTEM
  ibrav = 0, nat = 48, ntyp = 3
/
ATOMIC_SPECIES
Sb 121.76 Sb.upf
O 16.00 O.upf
F 19.00 F.upf
CELL_PARAMETERS angstrom
5.762 0.000 0.000
0.000 12.575 0.000
0.000 0.000 11.771
ATOMIC_POSITIONS crystal
Sb 0.203 0.010 0.116
Sb 0.203 0.490 0.616
Sb 0.203 0.705 0.357
Sb 0.203 0.795 0.857
Sb 0.297 0.205 0.357
Sb 0.297 0.295 0.857
Sb 0.297 0.510 0.116
Sb 0.297 0.990 0.616
Sb 0.703 0.010 0.384
Sb 0.703 0.490 0.884
Sb 0.703 0.705 0.143
Sb 0.703 0.795 0.643
Sb 0.797 0.205 0.143
Sb 0.797 0.295 0.643
Sb 0.797 0.510 0.384
Sb 0.797 0.990 0.884
O 0.085 0.580 0.451
O 0.085 0.920 0.951
O 0.107 0.126 0.238
O 0.107 0.374 0.738
O 0.393 0.626 0.238
O 0.393 0.874 0.738
O 0.415 0.080 0.451
O 0.415 0.420 0.951
O 0.585 0.580 0.049
O 0.585 0.920 0.549
O 0.607 0.126 0.262
O 0.607 0.374 0.762
O 0.893 0.626 0.262
O 0.893 0.874 0.762
O 0.915 0.080 0.049
O 0.915 0.420 0.549
F 0.004 0.185 0.458
F 0.004 0.315 0.958
F 0.008 0.594 0.701
F 0.008 0.906 0.201
F 0.492 0.094 0.701
F 0.492 0.406 0.201
F 0.496 0.685 0.458
F 0.496 0.815 0.958
F 0.504 0.185 0.042
F 0.504 0.315 0.542
F 0.508 0.594 0.799
F 0.508 0.906 0.299
F 0.992 0.094 0.799
F 0.992 0.406 0.299
F 0.996 0.685 0.042
F 0.996 0.815 0.542
```

=====

Sb6O5F8 | GGA-PBE | relaxed Values from VASP.

Structure (Quantum ESPRESSO input):
```
&SYSTEM
  ibrav = 0, nat = 19, ntyp = 3
/
ATOMIC_SPECIES
Sb 121.76 Sb.upf
O 16.00 O.upf
F 19.00 F.upf
CELL_PARAMETERS angstrom
4.267 0.000 0.000
0.659 6.530 0.000
1.025 0.007 13.440
ATOMIC_POSITIONS crystal
Sb 0.000 0.000 0.000
Sb 0.032 0.945 0.294
Sb 0.423 0.373 0.847
Sb 0.523 0.277 0.184
Sb 0.686 0.477 0.514
Sb 0.933 0.979 0.706
O 0.052 0.174 0.187
O 0.070 0.210 0.894
O 0.560 0.179 0.737
O 0.561 0.007 0.255
O 0.591 0.162 0.044
F 0.090 0.724 0.193
F 0.123 0.517 0.757
F 0.165 0.504 0.488
F 0.647 0.716 0.426
F 0.651 0.796 0.647
F 0.733 0.305 0.394
F 0.748 0.863 0.901
F 0.996 0.114 0.575
```

=====

SbOF | GGA-PBE | relaxed Values from VASP.

Structure (Quantum ESPRESSO input):
```
&SYSTEM
  ibrav = 0, nat = 12, ntyp = 3
/
ATOMIC_SPECIES
Sb 121.76 Sb.upf
O 16.00 O.upf
F 19.00 F.upf
CELL_PARAMETERS angstrom
13.177 0.000 0.000
0.000 3.553 0.000
0.000 0.000 4.249
ATOMIC_POSITIONS crystal
Sb 0.156 0.250 0.139
Sb 0.344 0.750 0.639
Sb 0.656 0.250 0.361
Sb 0.844 0.750 0.861
O 0.248 0.250 0.756
O 0.252 0.750 0.256
O 0.748 0.250 0.744
O 0.752 0.750 0.244
F 0.090 0.750 0.866
F 0.410 0.250 0.366
F 0.590 0.750 0.634
F 0.910 0.250 0.134
```

=====

Sb8O11F2 | GGA-PBE | relaxed Values from VASP.

Structure (Quantum ESPRESSO input):
```
&SYSTEM
  ibrav = 0, nat = 42, ntyp = 3
/
ATOMIC_SPECIES
Sb 121.76 Sb.upf
O 16.00 O.upf
F 19.00 F.upf
CELL_PARAMETERS angstrom
11.465 0.000 0.000
0.000 4.233 0.000
-2.888 0.000 17.612
ATOMIC_POSITIONS crystal
Sb 0.064 0.179 0.435
Sb 0.064 0.321 0.935
Sb 0.138 0.040 0.765
Sb 0.138 0.460 0.265
Sb 0.325 0.739 0.533
Sb 0.325 0.761 0.033
Sb 0.354 0.570 0.735
Sb 0.354 0.930 0.235
Sb 0.646 0.070 0.765
Sb 0.646 0.430 0.265
Sb 0.675 0.239 0.967
Sb 0.675 0.261 0.467
Sb 0.862 0.540 0.735
Sb 0.862 0.960 0.235
Sb 0.936 0.679 0.065
Sb 0.936 0.821 0.565
O 0.000 0.000 0.000
O 0.000 0.500 0.500
O 0.147 0.011 0.878
O 0.147 0.489 0.378
O 0.194 0.559 0.772
O 0.194 0.941 0.272
O 0.209 0.091 0.509
O 0.209 0.409 0.009
O 0.273 0.613 0.629
O 0.273 0.887 0.129
O 0.309 0.064 0.753
O 0.309 0.436 0.253
O 0.691 0.564 0.747
O 0.691 0.936 0.247
O 0.727 0.113 0.871
O 0.727 0.387 0.371
O 0.791 0.591 0.991
O 0.791 0.909 0.491
O 0.806 0.059 0.728
O 0.806 0.441 0.228
O 0.853 0.511 0.622
O 0.853 0.989 0.122
F 0.447 0.038 0.586
F 0.447 0.462 0.086
F 0.553 0.538 0.914
F 0.553 0.962 0.414
```

=====

SbOF | GGA-PBE | relaxed Values from VASP.

Structure (Quantum ESPRESSO input):
```
&SYSTEM
  ibrav = 0, nat = 6, ntyp = 3
/
ATOMIC_SPECIES
Sb 121.76 Sb.upf
O 16.00 O.upf
F 19.00 F.upf
CELL_PARAMETERS angstrom
4.659 0.000 0.000
0.000 3.308 0.000
-0.017 0.000 6.343
ATOMIC_POSITIONS crystal
Sb 0.000 0.000 0.000
Sb 0.500 0.500 0.456
O 0.332 0.000 0.303
O 0.833 0.500 0.153
F 0.134 0.500 0.632
F 0.634 0.000 0.823
```

=====

! SbO2F (GGA-PBE, relaxed); values from VASP
&SYSTEM
  ibrav = 0, nat = 16, ntyp = 3
/
ATOMIC_SPECIES
Sb 121.76 Sb.upf
O 16.00 O.upf
F 19.00 F.upf
CELL_PARAMETERS angstrom
5.497 0.000 0.000
0.000 4.959 0.000
0.000 0.000 8.707
ATOMIC_POSITIONS crystal
Sb 0.250 0.000 0.067
Sb 0.250 0.500 0.433
Sb 0.750 0.000 0.933
Sb 0.750 0.500 0.567
O 0.048 0.218 0.922
O 0.048 0.282 0.578
O 0.452 0.718 0.578
O 0.452 0.782 0.922
O 0.548 0.218 0.078
O 0.548 0.282 0.422
O 0.952 0.718 0.422
O 0.952 0.782 0.078
F 0.134 0.250 0.250
F 0.366 0.750 0.250
F 0.634 0.250 0.750
F 0.866 0.750 0.750
! Offset from the most stable computed form in eV/atom: 0.053

=====

Sb4O5F | GGA-PBE | relaxed Values from VASP.

Structure (Quantum ESPRESSO input):
```
&SYSTEM
  ibrav = 0, nat = 20, ntyp = 3
/
ATOMIC_SPECIES
Sb 121.76 Sb.upf
O 16.00 O.upf
F 19.00 F.upf
CELL_PARAMETERS angstrom
7.603 0.000 0.000
0.000 7.873 0.000
0.000 0.000 6.110
ATOMIC_POSITIONS crystal
Sb 0.002 0.250 0.037
Sb 0.250 0.516 0.447
Sb 0.250 0.984 0.447
Sb 0.498 0.250 0.037
Sb 0.502 0.750 0.963
Sb 0.750 0.016 0.553
Sb 0.750 0.484 0.553
Sb 0.998 0.750 0.963
O 0.050 0.055 0.248
O 0.050 0.445 0.248
O 0.250 0.750 0.874
O 0.450 0.055 0.248
O 0.450 0.445 0.248
O 0.550 0.555 0.752
O 0.550 0.945 0.752
O 0.750 0.250 0.126
O 0.950 0.555 0.752
O 0.950 0.945 0.752
F 0.250 0.250 0.569
F 0.750 0.750 0.431
```

=====

Calculated total energy, respectively: -22.6 -64.6 -196.6 -150.2 -14.3 -263.0 -100.7 -64.9 -241.7 -32.1 -87.3 -111.9 eV for the cell shown.